No. 1
Compound: Ba2V2O5
Source: the Alexandria database
Functional: PBE+U
Structure: optimized geometry

Lattice parameters (Å, degrees): 4.0318 4.0318 8.3536 90.00 90.00 90.00
Element x y z (fractional)
Ba  0.0000  0.0000  0.0000
Ba  0.0000  0.0000  0.5000
V  0.5000  0.5000  0.2392
V  0.5000  0.5000  0.7608
O  0.0000  0.5000  0.2723
O  0.0000  0.5000  0.7277
O  0.5000  0.0000  0.2723
O  0.5000  0.0000  0.7277
O  0.5000  0.5000  0.0000

Summary:
SG: P4/mmm, No. 123

---

No. 2
Compound: BaV10O15
Source: the Alexandria database
Functional: PBE+U
Structure: optimized geometry

Lattice parameters (Å, degrees): 7.8964 7.8964 9.6799 90.00 90.00 83.38
Element x y z (fractional)
Ba  0.0000  0.0000  0.0000
Ba  0.5000  0.5000  0.5000
V  0.0410  0.2105  0.6440
V  0.0813  0.4070  0.1194
V  0.0930  0.4187  0.3806
V  0.1795  0.8205  0.6311
V  0.2105  0.0410  0.3560
V  0.2895  0.4590  0.8560
V  0.3205  0.6795  0.1311
V  0.4070  0.0813  0.8806
V  0.4187  0.0930  0.6194
V  0.4590  0.2895  0.1440
V  0.5410  0.7105  0.8560
V  0.5813  0.9070  0.3806
V  0.5930  0.9187  0.1194
V  0.6795  0.3205  0.8689
V  0.7105  0.5410  0.1440
V  0.7895  0.9590  0.6440
V  0.8205  0.1795  0.3689
V  0.9070  0.5813  0.6194
V  0.9187  0.5930  0.8806
V  0.9590  0.7895  0.3560
O  0.0000  0.0000  0.5000
O  0.0364  0.2119  0.2580
O  0.0715  0.4285  0.7500
O  0.1090  0.6403  0.4946
O  0.1403  0.6090  0.9946
O  0.1529  0.8471  0.2422
O  0.2119  0.0364  0.7420
O  0.2396  0.2396  0.5000
O  0.2604  0.2604  0.0000
O  0.2881  0.4636  0.2420
O  0.3471  0.6529  0.7422
O  0.3597  0.8910  0.4946
O  0.3910  0.8597  0.9946
O  0.4285  0.0715  0.2500
O  0.4636  0.2881  0.7580
O  0.5000  0.5000  0.0000
O  0.5364  0.7119  0.2420
O  0.5715  0.9285  0.7500
O  0.6090  0.1403  0.0054
O  0.6403  0.1090  0.5054
O  0.6529  0.3471  0.2578
O  0.7119  0.5364  0.7580
O  0.7396  0.7396  0.0000
O  0.7604  0.7604  0.5000
O  0.7881  0.9636  0.2580
O  0.8471  0.1529  0.7578
O  0.8597  0.3910  0.0054
O  0.8910  0.3597  0.5054
O  0.9285  0.5715  0.2500
O  0.9636  0.7881  0.7420

Summary:
SG: Cmce, No. 64

---

No. 3
Compound: BaV3O8
Source: the Alexandria database
Functional: PBE+U
Structure: optimized geometry

Lattice parameters (Å, degrees): 7.6054 5.6373 8.3757 90.00 107.39 90.00
Element x y z (fractional)
Ba  0.2114  0.2500  0.4015
Ba  0.7886  0.7500  0.5985
V  0.0681  0.2500  0.8632
V  0.2945  0.7500  0.7235
V  0.4159  0.7500  0.1827
V  0.5841  0.2500  0.8173
V  0.7055  0.2500  0.2765
V  0.9319  0.7500  0.1368
O  0.1307  0.5021  0.7738
O  0.1307  0.9979  0.7738
O  0.1644  0.2500  0.0693
O  0.1728  0.7500  0.5183
O  0.1838  0.7500  0.1905
O  0.4281  0.7500  0.9860
O  0.4749  0.0031  0.7009
O  0.4749  0.4969  0.7009
O  0.5251  0.5031  0.2991
O  0.5251  0.9969  0.2991
O  0.5719  0.2500  0.0140
O  0.8162  0.2500  0.8095
O  0.8272  0.2500  0.4817
O  0.8356  0.7500  0.9307
O  0.8693  0.0021  0.2262
O  0.8693  0.4979  0.2262

Summary:
SG: P2_1/m, No. 11
distance to the lowest polymorph of the same formula: 0 meV/atom

---

No. 4
Compound: BaV3O9
Source: the Alexandria database
Functional: PBE+U
Structure: optimized geometry

Lattice parameters (Å, degrees): 8.1249 8.1249 8.3481 90.00 90.00 107.15
Element x y z (fractional)
Ba  0.1206  0.1206  0.0000
Ba  0.8794  0.8794  0.5000
V  0.2459  0.2459  0.5000
V  0.3136  0.6803  0.9645
V  0.3197  0.6864  0.5355
V  0.6803  0.3136  0.0355
V  0.6864  0.3197  0.4645
V  0.7541  0.7541  0.0000
O  0.1321  0.1532  0.6618
O  0.1532  0.1321  0.3382
O  0.1847  0.7954  0.4728
O  0.2046  0.8153  0.0272
O  0.2166  0.4784  0.0306
O  0.2465  0.4664  0.4694
O  0.3195  0.6805  0.7500
O  0.4664  0.2465  0.5306
O  0.4784  0.2166  0.9694
O  0.5216  0.7834  0.4694
O  0.5336  0.7535  0.0306
O  0.6805  0.3195  0.2500
O  0.7535  0.5336  0.9694
O  0.7834  0.5216  0.5306
O  0.7954  0.1847  0.5272
O  0.8153  0.2046  0.9728
O  0.8468  0.8679  0.8382
O  0.8679  0.8468  0.1618

Summary:
SG: C222_1, No. 20

---

No. 5
Compound: BaV4O7
Source: the Alexandria database
Functional: PBE+U
Structure: optimized geometry

Lattice parameters (Å, degrees): 6.6010 6.6010 10.9533 90.00 90.00 120.00
Element x y z (fractional)
Ba  0.3333  0.6667  0.0000
Ba  0.6667  0.3333  0.5000
V  0.0000  0.0000  0.3972
V  0.0000  0.0000  0.8972
V  0.1693  0.3386  0.6407
V  0.1693  0.8307  0.6407
V  0.3386  0.1693  0.1407
V  0.6614  0.8307  0.6407
V  0.8307  0.1693  0.1407
V  0.8307  0.6614  0.1407
O  0.0000  0.0000  0.2117
O  0.0000  0.0000  0.7117
O  0.0138  0.5069  0.6805
O  0.1484  0.2968  0.4705
O  0.1484  0.8516  0.4705
O  0.2968  0.1484  0.9705
O  0.4931  0.5069  0.6805
O  0.4931  0.9862  0.6805
O  0.5069  0.0138  0.1805
O  0.5069  0.4931  0.1805
O  0.7032  0.8516  0.4705
O  0.8516  0.1484  0.9705
O  0.8516  0.7032  0.9705
O  0.9862  0.4931  0.1805

Summary:
SG: P6_3mc, No. 186

---

No. 6
Compound: Ba2V2O5
Source: the Alexandria database
Functional: PBE+U
Structure: optimized geometry

Lattice parameters (Å, degrees): 9.1818 9.1818 9.1818 53.83 142.27 143.06
Element x y z (fractional)
Ba  0.0103  0.1120  0.1223
Ba  0.0103  0.3880  0.3984
Ba  0.9897  0.6120  0.6016
Ba  0.9897  0.8880  0.8777
V  0.4220  0.7383  0.1837
V  0.4994  0.4994  0.0000
V  0.4994  0.9994  0.5000
V  0.5547  0.2383  0.8163
O  0.9995  0.2543  0.7582
O  0.0000  0.4204  0.0796
O  0.9995  0.7413  0.2452
O  0.3409  0.9204  0.9204
O  0.4674  0.1448  0.5983
O  0.4674  0.3691  0.8226
O  0.4961  0.2413  0.2418
O  0.4961  0.7543  0.7548
O  0.5465  0.6448  0.1774
O  0.5465  0.8691  0.4017

Summary:
SG: Ima2, No. 46

---

no.,VASP energy (Ry per atom),V (Å³/cell),total magnetic moment (μB per atom)
1,-0.52185,135.79,0.44
2,-0.57960,599.54,0.85
3,-0.55069,342.68,0.08
4,-0.53165,526.60,0.08
5,-0.54426,413.33,0.67
6,-0.52450,282.80,0.44